# 1
## Np2NbVN5 (PBE)

Data for a relaxed structure of Np2NbVN5.

The value obtained for the density of states at the Fermi level is 46.558 states/eV/cell. The calculation puts the total magnetic moment at 0.8 μB/cell. Its formation energy (no corrections) is -1.078 eV per atom.

a b c (Å): 3.219 13.037 10.009
angles (deg): 90.00 90.00 90.00
Space group Cmc2_1 (No. 36)
Asymmetric unit:
Np (0.000, 0.107, 0.000) x4
Np (0.000, 0.145, 0.611) x4
Nb (0.000, 0.211, 0.319) x4
V (0.000, 0.475, 0.777) x4
N (0.000, 0.050, 0.373) x4
N (0.000, 0.281, 0.971) x4
N (0.000, 0.324, 0.678) x4
N (0.000, 0.373, 0.314) x4
N (0.000, 0.487, 0.094) x4

# 2
## Zr3Np3NbN8 (PBE)

Data for a relaxed structure of Zr3Np3NbN8.

The value obtained for the density of states at the Fermi level is 49.747 states/eV/cell. The calculation puts the total magnetic moment at 25.3 μB/cell. Its formation energy (no corrections) is -1.309 eV per atom.

a b c (Å): 6.5182 6.5182 16.5288
angles (deg): 90.00 90.00 120.00
Space group R-3m (No. 166, hexagonal axes)
Asymmetric unit:
Zr (0.0000, 0.5000, 0.0000) x9
Np (0.0000, 0.5000, 0.5000) x9
Nb (0.0000, 0.0000, 0.0000) x3
N (0.0000, 0.0000, 0.2552) x6
N (0.0165, 0.5083, 0.7440) x18

# 3
## ZrNpNbN3 (PBE)

Data for a relaxed structure of ZrNpNbN3.

The value obtained for the density of states at the Fermi level is 13.085 states/eV/cell. The calculation puts the total magnetic moment at 5.7 μB/cell. Its formation energy (no corrections) is -1.049 eV per atom.

a b c (Å): 6.874 3.151 8.099
angles (deg): 90.00 91.80 90.00
Space group P2_1/m (No. 11)
Asymmetric unit:
Zr (0.124, 0.250, 0.140) x2
Np (0.366, 0.750, 0.830) x2
Nb (0.347, 0.750, 0.426) x2
N (0.110, 0.250, 0.873) x2
N (0.342, 0.250, 0.601) x2
N (0.363, 0.750, 0.137) x2

# 4
## NbNO2 (PBE)

Data for a relaxed structure of NbNO2.

The value obtained for the density of states at the Fermi level is 5.229 states/eV/cell. The calculation puts the total magnetic moment at 5.4 μB/cell. Its formation energy (no corrections) is -0.149 eV per atom.

a b c (Å): 2.9784 2.9784 18.4837
angles (deg): 90.00 90.00 120.00
Space group R-3m (No. 166, hexagonal axes)
Asymmetric unit:
Nb (0.0000, 0.0000, 0.0000) x3
N (0.0000, 0.0000, 0.5000) x3
O (0.0000, 0.0000, 0.4001) x6

# 5
## Nb2NO (PBE)

Data for a relaxed structure of Nb2NO.

The value obtained for the density of states at the Fermi level is 15.631 states/eV/cell. The calculation puts the total magnetic moment at 0.0 μB/cell. The energy above the most stable polymorph in this dataset is 559 meV/atom. Its formation energy (no corrections) is -0.715 eV per atom.

a b c (Å): 5.585 5.585 5.585
angles (deg): 90.00 90.00 90.00
Space group Fm-3m (No. 225)
Asymmetric unit:
Nb (0.250, 0.250, 0.250) x8
N (0.000, 0.000, 0.000) x4
O (0.000, 0.000, 0.500) x4

# 6
## NbN3O8 (PBE)

Data for a relaxed structure of NbN3O8.

The value obtained for the density of states at the Fermi level is 15.846 states/eV/cell. The calculation puts the total magnetic moment at 24.0 μB/cell. Its formation energy (no corrections) is 0.878 eV per atom.

a b c (Å): 7.715 7.715 8.268
angles (deg): 90.00 90.00 90.00
Space group I-42m (No. 121)
Asymmetric unit:
Nb (0.000, 0.000, 0.000) x2
N (0.000, 0.000, 0.500) x2
N (0.000, 0.500, 0.250) x4
O (0.145, 0.145, 0.161) x8
O (0.191, 0.191, 0.006) x8

# 7
## NbNO (PBE)

Data for a relaxed structure of NbNO.

The calculation puts the total magnetic moment at 0.0 μB/cell. The energy above the most stable polymorph in this dataset is 65 meV/atom. Its formation energy (no corrections) is -1.572 eV per atom.

a b c (Å): 8.261 10.131 6.432
angles (deg): 90.00 90.00 90.00
Space group Fdd2 (No. 43)
Asymmetric unit:
Nb (0.051, 0.273, 0.000) x16
N (0.030, 0.375, 0.282) x16
O (0.091, 0.350, 0.713) x16

# 8
## NbNO (PBE)

Data for a relaxed structure of NbNO.

The value obtained for the density of states at the Fermi level is 0.341 states/eV/cell. The calculation puts the total magnetic moment at 0.0 μB/cell. The energy above the most stable polymorph in this dataset is 345 meV/atom. Its formation energy (no corrections) is -1.293 eV per atom.

a b c (Å): 5.026 5.026 5.026
angles (deg): 90.00 90.00 90.00
Space group F-43m (No. 216)
Asymmetric unit:
Nb (0.000, 0.000, 0.000) x4
N (0.250, 0.250, 0.250) x4
O (0.250, 0.250, 0.750) x4

Q: formation energy (no corrections) of number 5 (Nb2NO)?
A: -0.715 eV per atom

Copy entry 1 word for word.
## Np2NbVN5 (PBE)

Data for a relaxed structure of Np2NbVN5.

The value obtained for the density of states at the Fermi level is 46.558 states/eV/cell. The calculation puts the total magnetic moment at 0.8 μB/cell. Its formation energy (no corrections) is -1.078 eV per atom.

a b c (Å): 3.219 13.037 10.009
angles (deg): 90.00 90.00 90.00
Space group Cmc2_1 (No. 36)
Asymmetric unit:
Np (0.000, 0.107, 0.000) x4
Np (0.000, 0.145, 0.611) x4
Nb (0.000, 0.211, 0.319) x4
V (0.000, 0.475, 0.777) x4
N (0.000, 0.050, 0.373) x4
N (0.000, 0.281, 0.971) x4
N (0.000, 0.324, 0.678) x4
N (0.000, 0.373, 0.314) x4
N (0.000, 0.487, 0.094) x4